A relaxed structure of BaAu2Se, computed with GGA-PBEsol.

extended XYZ file:
```
4
Lattice="-4.316 -0.680 -0.990 -0.856 -2.625 -4.605 -1.697 -5.042 0.726" Properties=species:S:1:pos:R:3 pbc="T T T"
Au -4.274 -0.847 -1.059
Au -5.069 -6.587 -3.786
Se -1.830 -1.639 -1.032
Ba -3.446 -4.128 -2.415
```

## Properties
Total magnetization = 0.00 μB/f.u.
VASP energy = -4.049 eV/atom
Formation energy (no corrections) = -13.54 kcal/mol of atoms

---

A relaxed structure of BaAuSe2, computed with GGA-PBEsol.

extended XYZ file:
```
4
Lattice="4.524 0.000 0.000 2.262 3.918 0.000 2.262 1.306 5.843" Properties=species:S:1:pos:R:3 pbc="T T T"
Au 4.524 2.612 2.921
Se 2.262 1.306 1.867
Se 6.786 3.918 3.975
Ba 0.000 0.000 0.000
```

## Properties
Total magnetization = 0.00 μB/f.u.
ΔE to the lowest computed polymorph = 236 meV per atom
VASP energy = -4.201 eV/atom
Formation energy (no corrections) = -17.48 kcal/mol of atoms